Computed, not measured: crystalline Hg4Te5Br at its relaxed geometry at the PBE level of DFT.

Cell lengths 9.159, 13.073, 6.154 Å; angles 90.00, 90.00, 90.00 degrees
Space group Pmmn (No. 59, origin choice 2)
Unique sites:
1 Hg 0.006 0.250 0.021 x4
2 Hg 0.250 0.578 0.403 x4
3 Te 0.027 0.056 0.806 x8
4 Te 0.250 0.750 0.699 x2
5 Br 0.250 0.250 0.316 x2

Computed, not measured: crystalline HgTe2Br2 at its relaxed geometry at the PBE level of DFT.

Output
Energy above the lowest structure with this stoichiometry in eV/atom: 0.066

Cell lengths 4.082, 4.082, 21.213 Å; angles 90.00, 90.00, 90.00 degrees
Space group I4/mmm (No. 139)
Unique sites:
1 Hg 0.000 0.000 0.000 x2
2 Te 0.000 0.500 0.250 x4
3 Br 0.000 0.000 0.420 x4

Computed, not measured: crystalline HgTeBr at its relaxed geometry at the PBE level of DFT.

Output
Energy above the lowest structure with this stoichiometry in eV/atom: 0.171

Cell lengths 4.172, 7.127, 12.903 Å; angles 90.00, 90.00, 90.00 degrees
Space group Fmm2 (No. 42)
Unique sites:
1 Hg 0.000 0.000 0.000 x4
2 Te 0.000 0.000 0.353 x4
3 Br 0.000 0.000 0.653 x4

Computed, not measured: crystalline HgTe3Br at its relaxed geometry at the PBE level of DFT.

Output
Energy above the lowest structure with this stoichiometry in eV/atom: 0.097

Cell lengths 5.650, 5.650, 5.650 Å; angles 90.00, 90.00, 90.00 degrees
Space group Pm-3m (No. 221)
Unique sites:
1 Hg 0.000 0.000 0.000 x1
2 Te 0.000 0.500 0.500 x3
3 Br 0.500 0.500 0.500 x1

Computed, not measured: crystalline Tl3HgTeBr at its relaxed geometry at the PBE level of DFT.

Cell lengths 9.045, 4.618, 10.822 Å; angles 90.00, 107.49, 90.00 degrees
Space group P2_1/m (No. 11)
Unique sites:
1 Tl 0.022 0.250 0.184 x2
2 Tl 0.186 0.750 0.479 x2
3 Tl 0.436 0.750 0.864 x2
4 Hg 0.419 0.250 0.383 x2
5 Te 0.194 0.250 0.693 x2
6 Br 0.235 0.750 0.083 x2

Computed, not measured: crystalline TlHgTeBr at its relaxed geometry at the PBE level of DFT.

Cell lengths 8.117, 4.682, 8.581 Å; angles 90.00, 108.23, 90.00 degrees
Space group Cm (No. 8)
Unique sites:
1 Tl 0.000 0.000 0.000 x2
2 Hg 0.315 0.500 0.447 x2
3 Te 0.453 0.000 0.359 x2
4 Br 0.267 0.000 0.800 x2

Number 1: E_form (uncorrected) -0.094 eV/atom, size of the total moment 0.0 μB per formula unit. Number 2: E_form (uncorrected) 0.122 eV/atom, size of the total moment 0.0 μB per formula unit. Number 3: E_form (uncorrected) 0.013 eV/atom, size of the total moment 0.0 μB per formula unit. Number 4: E_form (uncorrected) 0.722 eV/atom, size of the total moment 0.0 μB per formula unit. Number 5: E_form (uncorrected) -0.402 eV/atom, size of the total moment 0.0 μB per formula unit. Number 6: E_form (uncorrected) -0.389 eV/atom, size of the total moment 0.0 μB per formula unit.